1.
Density functional theory data (PBE) for a relaxed TmSc3Tl4Te8 crystal.

The total magnetic moment comes out at 0.0 μB/f.u. The formation energy (no corrections) comes out at -1462 kJ/mol of formula units. The mass density comes out at 6.8 Mg/m³.

The structure in CIF format:
```
data_TmSc3Tl4Te8
_symmetry_space_group_name_H-M 'R -3 m'
_symmetry_Int_Tables_number 166
_symmetry_space_group_name_Hall '-R 3 2"'
_cell_length_a 8.6019
_cell_length_b 8.6019
_cell_length_c 24.4436
_cell_angle_alpha 90.00
_cell_angle_beta 90.00
_cell_angle_gamma 120.00
loop_
_atom_site_label
_atom_site_fract_x
_atom_site_fract_y
_atom_site_fract_z
Tm1 0.0000 0.0000 0.0000
Sc1 0.0000 0.5000 0.0000
Tl1 0.0000 0.0000 0.5000
Tl2 0.0000 0.5000 0.5000
Te1 0.0000 0.0000 0.2662
Te2 0.0078 0.5039 0.2648
```


2.
Density functional theory data (PBE) for a relaxed TmSc2Tl3Te6 crystal.

The total magnetic moment comes out at 0.0 μB/f.u. The formation energy (no corrections) comes out at -1107 kJ/mol of formula units. The mass density comes out at 6.9 Mg/m³. The value obtained for the density of states at the Fermi level is 0.36 states/eV/f.u.

The structure in CIF format:
```
data_TmSc2Tl3Te6
_symmetry_space_group_name_H-M 'C 1 2/m 1'
_symmetry_Int_Tables_number 12
_cell_length_a 7.472
_cell_length_b 12.935
_cell_length_c 8.521
_cell_angle_alpha 90.00
_cell_angle_beta 107.00
_cell_angle_gamma 90.00
loop_
_symmetry_equiv_pos_as_xyz
'x,y,z'
'-x,-y,-z'
'-x,y,-z'
'x,-y,z'
'x+1/2,y+1/2,z'
'-x+1/2,-y+1/2,-z'
'-x+1/2,y+1/2,-z'
'x+1/2,-y+1/2,z'
loop_
_atom_site_label
_atom_site_fract_x
_atom_site_fract_y
_atom_site_fract_z
Tm1 0.000 0.000 0.000
Sc1 0.000 0.333 0.000
Tl1 0.000 0.163 0.500
Tl2 0.000 0.500 0.500
Te1 0.225 0.500 0.203
Te2 0.240 0.171 0.206
```


3.
Density functional theory data (PBE) for a relaxed Tm2ScTl3Te6 crystal.

The total magnetic moment comes out at 0.0 μB/f.u. The formation energy (no corrections) comes out at -1147 kJ/mol of formula units. The mass density comes out at 7.2 Mg/m³.

The structure in CIF format:
```
data_Tm2ScTl3Te6
_symmetry_space_group_name_H-M 'C 1 2/m 1'
_symmetry_Int_Tables_number 12
_cell_length_a 7.553
_cell_length_b 13.077
_cell_length_c 8.554
_cell_angle_alpha 90.00
_cell_angle_beta 107.12
_cell_angle_gamma 90.00
loop_
_symmetry_equiv_pos_as_xyz
'x,y,z'
'-x,-y,-z'
'-x,y,-z'
'x,-y,z'
'x+1/2,y+1/2,z'
'-x+1/2,-y+1/2,-z'
'-x+1/2,y+1/2,-z'
'x+1/2,-y+1/2,z'
loop_
_atom_site_label
_atom_site_fract_x
_atom_site_fract_y
_atom_site_fract_z
Tm1 0.000 0.166 0.000
Sc1 0.000 0.500 0.000
Tl1 0.000 0.000 0.500
Tl2 0.000 0.330 0.500
Te1 0.231 0.338 0.207
Te2 0.245 0.000 0.209
```


4.
Density functional theory data (PBE) for a relaxed ScU2Tl3Te6 crystal.

The total magnetic moment comes out at 6.0 μB/f.u. The formation energy (no corrections) comes out at -747 kJ/mol of formula units. The mass density comes out at 7.7 Mg/m³. The value obtained for the density of states at the Fermi level is 13.47 states/eV/f.u.

The structure in CIF format:
```
data_ScU2Tl3Te6
_symmetry_space_group_name_H-M 'C 1 2/m 1'
_symmetry_Int_Tables_number 12
_cell_length_a 7.559
_cell_length_b 13.078
_cell_length_c 8.657
_cell_angle_alpha 90.00
_cell_angle_beta 106.93
_cell_angle_gamma 90.00
loop_
_symmetry_equiv_pos_as_xyz
'x,y,z'
'-x,-y,-z'
'-x,y,-z'
'x,-y,z'
'x+1/2,y+1/2,z'
'-x+1/2,-y+1/2,-z'
'-x+1/2,y+1/2,-z'
'x+1/2,-y+1/2,z'
loop_
_atom_site_label
_atom_site_fract_x
_atom_site_fract_y
_atom_site_fract_z
Sc1 0.000 0.000 0.000
U1 0.000 0.334 0.000
Tl1 0.000 0.172 0.500
Tl2 0.000 0.500 0.500
Te1 0.230 0.161 0.211
Te2 0.249 0.000 0.785
```


5.
Density functional theory data (PBE) for a relaxed ScU3Tl3Te8 crystal.

The total magnetic moment comes out at 8.0 μB/f.u. The formation energy (no corrections) comes out at -946 kJ/mol of formula units. The mass density comes out at 7.3 Mg/m³. The value obtained for the density of states at the Fermi level is 20.58 states/eV/f.u.

The structure in CIF format:
```
data_ScU3Tl3Te8
_symmetry_space_group_name_H-M 'R -3 m'
_symmetry_Int_Tables_number 166
_symmetry_space_group_name_Hall '-R 3 2"'
_cell_length_a 8.6829
_cell_length_b 8.6829
_cell_length_c 25.1208
_cell_angle_alpha 90.00
_cell_angle_beta 90.00
_cell_angle_gamma 120.00
loop_
_atom_site_label
_atom_site_fract_x
_atom_site_fract_y
_atom_site_fract_z
Sc1 0.0000 0.0000 0.0000
U1 0.0000 0.5000 0.0000
Tl1 0.0000 0.5000 0.5000
Te1 0.0000 0.0000 0.2606
Te2 0.0106 0.5053 0.7361
```


6.
Density functional theory data (PBE) for a relaxed Sc3Tl3VTe8 crystal.

The total magnetic moment comes out at 1.5 μB/f.u. The formation energy (no corrections) comes out at -1105 kJ/mol of formula units. The mass density comes out at 6.2 Mg/m³. The value obtained for the density of states at the Fermi level is 7.45 states/eV/f.u.

The structure in CIF format:
```
data_Sc3Tl3VTe8
_symmetry_space_group_name_H-M 'R -3 m'
_symmetry_Int_Tables_number 166
_symmetry_space_group_name_Hall '-R 3 2"'
_cell_length_a 8.2613
_cell_length_b 8.2613
_cell_length_c 24.6956
_cell_angle_alpha 90.00
_cell_angle_beta 90.00
_cell_angle_gamma 120.00
loop_
_atom_site_label
_atom_site_fract_x
_atom_site_fract_y
_atom_site_fract_z
Sc1 0.0000 0.5000 0.0000
Tl1 0.0000 0.5000 0.5000
V1 0.0000 0.0000 0.0000
Te1 0.0000 0.0000 0.2648
Te2 0.0133 0.5066 0.7327
```


7.
Density functional theory data (PBE) for a relaxed ScTl2VTe crystal.

The total magnetic moment comes out at 1.7 μB/f.u. The formation energy (no corrections) comes out at 391 kJ/mol of formula units. The mass density comes out at 7.0 Mg/m³. The value obtained for the density of states at the Fermi level is 3.53 states/eV/f.u.

The structure in CIF format:
```
data_ScTl2VTe
_symmetry_space_group_name_H-M 'P 4/m m m'
_symmetry_Int_Tables_number 123
_symmetry_space_group_name_Hall '-P 4 2'
_cell_length_a 5.639
_cell_length_b 5.639
_cell_length_c 4.723
_cell_angle_alpha 90.00
_cell_angle_beta 90.00
_cell_angle_gamma 90.00
loop_
_atom_site_label
_atom_site_fract_x
_atom_site_fract_y
_atom_site_fract_z
Sc1 0.000 0.000 0.000
Tl1 0.000 0.500 0.000
V1 0.000 0.000 0.500
Te1 0.500 0.500 0.500
```


8.
Density functional theory data (PBE) for a relaxed Y3ScTl3Te8 crystal.

The total magnetic moment comes out at 0.0 μB/f.u. The formation energy (no corrections) comes out at -1499 kJ/mol of formula units. The mass density comes out at 6.0 Mg/m³. The value obtained for the density of states at the Fermi level is 5.38 states/eV/f.u.

The structure in CIF format:
```
data_Y3ScTl3Te8
_symmetry_space_group_name_H-M 'R -3 m'
_symmetry_Int_Tables_number 166
_symmetry_space_group_name_Hall '-R 3 2"'
_cell_length_a 8.7140
_cell_length_b 8.7140
_cell_length_c 24.6270
_cell_angle_alpha 90.00
_cell_angle_beta 90.00
_cell_angle_gamma 120.00
loop_
_atom_site_label
_atom_site_fract_x
_atom_site_fract_y
_atom_site_fract_z
Y1 0.0000 0.5000 0.0000
Sc1 0.0000 0.0000 0.0000
Tl1 0.0000 0.5000 0.5000
Te1 0.0000 0.0000 0.2610
Te2 0.0113 0.5056 0.7365
```